Record 1
PrHo3Tl4: relaxed, PBE.

Unit cell a=10.164 b=10.164 c=10.164 alpha=160.12 beta=138.00 gamma=46.87
Atoms (fractional coordinates):
Pr 0.000 0.000 0.000
Ho 0.219 0.719 0.500
Ho 0.500 0.500 0.000
Ho 0.781 0.281 0.500
Tl 0.158 0.871 0.288
Tl 0.417 0.129 0.288
Tl 0.583 0.871 0.712
Tl 0.842 0.129 0.712

Computed properties:
- Calculated volume: 29.79 A^3/atom
- ρ: 10.13 g/cm3
- E above lowest polymorph: 132 meV per atom
- Symmetry: No. 71
- Size of the total moment: 0.0 μB per cell

***

Record 2
LiPI2: relaxed, PBE.

Unit cell a=9.251 b=9.251 c=9.251 alpha=143.81 beta=143.81 gamma=52.11
Atoms (fractional coordinates):
Li 0.000 0.000 0.000
Li 0.750 0.250 0.500
P 0.250 0.750 0.500
P 0.500 0.500 0.000
I 0.151 0.625 0.026
I 0.375 0.401 0.526
I 0.599 0.125 0.974
I 0.875 0.849 0.474

Computed properties:
- Calculated volume: 34.30 A^3/atom
- ρ: 3.53 g/cm3
- ΔE_f (raw): 9 meV per atom
- E above lowest polymorph: 0 meV per atom
- Symmetry: No. 122
- Size of the total moment: 0.0 μB per cell

***

Record 3
AgSeF3: relaxed, PBE.

Unit cell a=4.408 b=4.408 c=4.408 alpha=90.00 beta=90.00 gamma=90.00
Atoms (fractional coordinates):
Ag 0.000 0.000 0.000
Se 0.500 0.500 0.500
F 0.000 0.500 0.500
F 0.500 0.000 0.500
F 0.500 0.500 0.000

Computed properties:
- Calculated volume: 17.13 A^3/atom
- ρ: 4.73 g/cm3
- ΔE_f (raw): -722 meV per atom
- E above lowest polymorph: 461 meV per atom
- Symmetry: No. 221
- Size of the total moment: 0.0 μB per cell

***

Record 4
Tl2HgCl: relaxed, PBE.

Unit cell a=9.796 b=9.796 c=9.796 alpha=22.95 beta=22.95 gamma=22.95
Atoms (fractional coordinates):
Tl 0.000 0.000 0.000
Tl 0.234 0.234 0.234
Hg 0.748 0.748 0.748
Cl 0.499 0.499 0.499

Computed properties:
- Calculated volume: 31.37 A^3/atom
- ρ: 8.53 g/cm3
- ΔE_f (raw): -335 meV per atom
- E above lowest polymorph: 112 meV per atom
- Symmetry: No. 160
- Size of the total moment: 0.0 μB per cell

***

Record 5
MnCoSn2: relaxed, PBE.

Unit cell a=9.393 b=9.393 c=9.393 alpha=19.51 beta=19.51 gamma=19.51
Atoms (fractional coordinates):
Mn 0.000 0.000 0.000
Co 0.500 0.500 0.500
Sn 0.098 0.098 0.098
Sn 0.902 0.902 0.902

Computed properties:
- Calculated volume: 20.21 A^3/atom
- ρ: 7.22 g/cm3
- E above lowest polymorph: 0 meV per atom
- Symmetry: No. 166
- Size of the total moment: 3.1 μB per cell

***

Record 6
MgTiO3: relaxed, PBE.

Unit cell a=5.319 b=7.473 c=5.094 alpha=90.00 beta=90.00 gamma=90.00
Atoms (fractional coordinates):
Mg 0.058 0.250 0.012
Mg 0.442 0.750 0.512
Mg 0.558 0.250 0.488
Mg 0.942 0.750 0.988
Ti 0.000 0.000 0.500
Ti 0.000 0.500 0.500
Ti 0.500 0.000 0.000
Ti 0.500 0.500 0.000
O 0.056 0.750 0.375
O 0.189 0.566 0.816
O 0.189 0.934 0.816
O 0.311 0.066 0.316
O 0.311 0.434 0.316
O 0.444 0.250 0.875
O 0.556 0.750 0.125
O 0.689 0.566 0.684
O 0.689 0.934 0.684
O 0.811 0.066 0.184
O 0.811 0.434 0.184
O 0.944 0.250 0.625

Computed properties:
- Calculated volume: 10.12 A^3/atom
- ρ: 3.94 g/cm3
- ΔE_f (raw): -2869 meV per atom
- Symmetry: No. 62
- Size of the total moment: 0.0 μB per cell

***

Record 7
Ho5ErMg6: relaxed, PBE.

Unit cell a=5.354 b=7.505 c=8.461 alpha=90.00 beta=108.43 gamma=90.00
Atoms (fractional coordinates):
Ho 0.000 0.000 0.000
Ho 0.332 0.000 0.666
Ho 0.333 0.500 0.667
Ho 0.667 0.500 0.333
Ho 0.668 0.000 0.334
Er 0.000 0.500 0.000
Mg 0.168 0.250 0.333
Mg 0.168 0.750 0.333
Mg 0.500 0.250 0.000
Mg 0.500 0.750 0.000
Mg 0.832 0.250 0.667
Mg 0.832 0.750 0.667

Computed properties:
- Calculated volume: 26.88 A^3/atom
- ρ: 5.86 g/cm3
- Energy: -3.157 eV/atom
- Symmetry: No. 10
- Size of the total moment: 0.0 μB per cell

***

Record 8
Pm2BiSb4: relaxed, PBE.

Unit cell a=4.375 b=4.375 c=11.485 alpha=90.00 beta=90.00 gamma=90.00
Atoms (fractional coordinates):
Pm 0.000 0.500 0.214
Pm 0.500 0.000 0.786
Bi 0.000 0.000 0.500
Sb 0.000 0.000 0.000
Sb 0.000 0.500 0.699
Sb 0.500 0.000 0.301
Sb 0.500 0.500 0.000

Computed properties:
- Calculated volume: 31.41 A^3/atom
- ρ: 7.45 g/cm3
- ΔE_f (raw): -626 meV per atom
- Symmetry: No. 115
- Size of the total moment: 0.0 μB per cell

***

Question: What is the formula in the first record?
Answer: PrHo3Tl4

***

Question: What is the formula in the seventh record?
Answer: Ho5ErMg6

***

Question: Which formula does entry 7 have?
Answer: Ho5ErMg6